Entry 1:
The following is a GGA-PBE calculation of crystalline Sr2CuAuS at its relaxed geometry, from Alexandria.

## Properties
- Density of states at the Fermi level: 0.481 states/eV per atom
- Raw formation energy: -0.44 eV/atom
- Total DFT energy (no corrections): -3.4132 eV/atom

a = 5.8524 Å, b = 5.8524 Å, c = 4.6884 Å
α = 90.00°, β = 90.00°, γ = 90.00°
Last column: nearest neighbours and their distance in Å.
Atoms (fractional coordinates):
Sr: 0.0000 0.5000 0.0000  2 Au 2.93
Sr: 0.5000 0.0000 0.0000  2 Au 2.93
Cu: 0.0000 0.0000 0.5000  2 Au 2.34
Au: 0.0000 0.0000 0.0000  2 Cu 2.34
S: 0.5000 0.5000 0.5000  8 Sr 3.75, 4 Cu 4.14

=====

Entry 2:
The following is a GGA-PBE calculation of crystalline K3Ce2PmSe6 at its relaxed geometry, from Alexandria.

## Properties
- Density of states at the Fermi level: 0.979 states/eV per atom
- Raw formation energy: -1.71 eV/atom
- Total DFT energy (no corrections): -5.1137 eV/atom

a = 7.5543 Å, b = 7.5543 Å, c = 8.0800 Å
α = 98.96°, β = 98.96°, γ = 120.00°
Last column: nearest neighbours and their distance in Å.
Atoms (fractional coordinates):
K: 0.0000 0.0000 0.0000  6 Se 3.36-3.37
K: 0.3334 0.6666 0.0000  6 Se 3.36-3.37
K: 0.6666 0.3334 0.0000  6 Se 3.36-3.37
Ce: 0.1667 0.8333 0.5000  6 Se 2.99
Ce: 0.8333 0.1667 0.5000  6 Se 2.99
Pm: 0.5000 0.5000 0.5000  6 Se 2.98
Se: 0.0986 0.4301 0.2903  1 Pm 2.98, 2 Ce 2.99
Se: 0.2383 0.2383 0.7096  1 Pm 2.98, 2 Ce 2.99
Se: 0.4301 0.0986 0.2903  1 Pm 2.98, 2 Ce 2.99
Se: 0.5699 0.9014 0.7097  1 Pm 2.98, 2 Ce 2.99
Se: 0.7617 0.7617 0.2904  1 Pm 2.98, 2 Ce 2.99
Se: 0.9014 0.5699 0.7097  1 Pm 2.98, 2 Ce 2.99

=====

Entry 3:
The following is a GGA-PBE calculation of crystalline CaTc5 at its relaxed geometry, from Alexandria.

## Properties
- Density of states at the Fermi level: 1.069 states/eV per atom
- E above lowest polymorph: 27 meV/atom
- Total DFT energy (no corrections): -8.6101 eV/atom
- ΔE_f: 2.17 eV per formula unit

a = 4.3985 Å, b = 8.4101 Å, c = 8.4101 Å
α = 18.90°, β = 90.00°, γ = 90.00°
Last column: nearest neighbours and their distance in Å.
Atoms (fractional coordinates):
Ca: 0.0000 0.0000 0.0000  2 Ca 2.76, 6 Tc 3.02-3.03
Tc: 0.0000 0.3225 0.3225  10 Tc 2.62-2.76
Tc: 0.0000 0.6827 0.6827  10 Tc 2.65-2.76
Tc: 0.5000 0.2371 0.2371  12 Tc 2.62-2.76
Tc: 0.5000 0.5942 0.5942  6 Tc 2.65-2.76
Tc: 0.5000 0.8753 0.8753  8 Tc 2.68-2.76

=====

Entry 4:
The following is a GGA-PBE calculation of crystalline Ac4SiHgBr2 at its relaxed geometry, from Alexandria.

## Properties
- Density of states at the Fermi level: 0.640 states/eV per atom
- Raw formation energy: -0.92 eV/atom
- Total DFT energy (no corrections): -4.1053 eV/atom

a = 7.8326 Å, b = 4.6087 Å, c = 8.2558 Å
α = 90.00°, β = 109.60°, γ = 90.00°
Last column: nearest neighbours and their distance in Å.
Atoms (fractional coordinates):
Ac: 0.2267 0.0000 0.2315  2 Si 3.14, 1 Hg 3.27, 3 Br 3.31-3.41
Ac: 0.2312 0.5000 0.7536  1 Si 3.14, 2 Hg 3.23, 3 Br 3.32-3.43
Ac: 0.7688 0.5000 0.2464  1 Si 3.14, 2 Hg 3.23, 3 Br 3.32-3.43
Ac: 0.7733 0.0000 0.7685  2 Si 3.14, 1 Hg 3.27, 3 Br 3.31-3.41
Si: 0.0000 0.5000 0.0000  6 Ac 3.14
Hg: 0.0000 0.0000 0.5000  6 Ac 3.23-3.27
Br: 0.5000 0.0000 0.0000  6 Ac 3.31-3.32
Br: 0.5000 0.5000 0.5000  6 Ac 3.41-3.43

=====

Entry 5:
The following is a GGA-PBE calculation of crystalline BaCrCl at its relaxed geometry, from Alexandria.

## Properties
- Density of states at the Fermi level: 0.344 states/eV per atom
- E above lowest polymorph: 99 meV/atom
- Raw formation energy: -0.16 eV/atom
- Total DFT energy (no corrections): -4.6282 eV/atom

a = 5.2649 Å, b = 5.2649 Å, c = 5.2649 Å
α = 60.00°, β = 60.00°, γ = 60.00°
Last column: nearest neighbours and their distance in Å.
Atoms (fractional coordinates):
Ba: 0.0000 0.0000 0.0000  4 Cl 3.22
Cr: 0.5000 0.5000 0.5000  4 Cl 3.22
Cl: 0.2500 0.2500 0.2500  4 Cr 3.22, 4 Ba 3.22

=====

Entry 6:
The following is a GGA-PBE calculation of crystalline AcGdYLu at its relaxed geometry, from Alexandria.

## Properties
- Density of states at the Fermi level: 2.024 states/eV per atom
- Total DFT energy (no corrections): -7.1506 eV/atom
- ΔE_f: 0.57 eV per formula unit

a = 5.8155 Å, b = 5.8155 Å, c = 5.8155 Å
α = 60.00°, β = 60.00°, γ = 60.00°
Last column: nearest neighbours and their distance in Å.
Atoms (fractional coordinates):
Ac: 0.0000 0.0000 0.0000  4 Gd 3.56, 4 Y 3.56
Gd: 0.7500 0.7500 0.7500  4 Lu 3.56, 4 Ac 3.56
Y: 0.2500 0.2500 0.2500  4 Ac 3.56, 4 Lu 3.56
Lu: 0.5000 0.5000 0.5000  4 Gd 3.56, 4 Y 3.56

=====

Entry 7:
The following is a GGA-PBE calculation of crystalline Tb2Ce3NdAs6 at its relaxed geometry, from Alexandria.

## Properties
- Density of states at the Fermi level: 1.390 states/eV per atom
- Total DFT energy (no corrections): -6.4572 eV/atom
- ΔE_f: -17.76 eV per formula unit

a = 7.2772 Å, b = 7.2772 Å, c = 7.2705 Å
α = 99.61°, β = 99.61°, γ = 120.00°
Last column: nearest neighbours and their distance in Å.
Atoms (fractional coordinates):
Tb: 0.1670 0.8330 0.0000  6 As 2.96
Tb: 0.8330 0.1670 0.0000  6 As 2.96
Ce: 0.0000 0.0000 0.5000  6 As 2.94-2.98
Ce: 0.3344 0.6656 0.5000  6 As 2.95-2.98
Ce: 0.6656 0.3344 0.5000  6 As 2.95-2.98
Nd: 0.5000 0.5000 0.0000  6 As 3.00
As: 0.0785 0.4164 0.7495  3 Ce 2.95-2.98, 2 Tb 2.96, 1 Nd 3.00
As: 0.2450 0.2450 0.2493  3 Ce 2.94-2.98, 2 Tb 2.96, 1 Nd 3.00
As: 0.4164 0.0785 0.7495  3 Ce 2.95-2.98, 2 Tb 2.96, 1 Nd 3.00
As: 0.5836 0.9215 0.2505  3 Ce 2.95-2.98, 2 Tb 2.96, 1 Nd 3.00
As: 0.7550 0.7550 0.7507  3 Ce 2.94-2.98, 2 Tb 2.96, 1 Nd 3.00
As: 0.9215 0.5836 0.2505  3 Ce 2.95-2.98, 2 Tb 2.96, 1 Nd 3.00

=====

Entry 8:
The following is a GGA-PBE calculation of crystalline HPtS at its relaxed geometry, from Alexandria.

## Properties
- Density of states at the Fermi level: 0.234 states/eV per atom
- E above lowest polymorph: 24 meV/atom
- Total DFT energy (no corrections): -4.4563 eV/atom

a = 4.0039 Å, b = 4.0039 Å, c = 4.0039 Å
α = 128.68°, β = 128.68°, γ = 75.53°
Last column: nearest neighbours and their distance in Å.
Atoms (fractional coordinates):
H: 0.0000 0.0000 0.0000  1 Pt 1.56
Pt: 0.2471 0.2471 0.0000  1 H 1.56
S: 0.6670 0.6670 0.0000  1 H 2.11

=====

Entry 9:
The following is a GGA-PBE calculation of crystalline TmNb2Ni9 at its relaxed geometry, from Alexandria.

## Properties
- Density of states at the Fermi level: 1.195 states/eV per atom
- Total DFT energy (no corrections): -6.6736 eV/atom
- ΔE_f: -3.44 eV per formula unit

a = 8.3382 Å, b = 8.3382 Å, c = 8.3382 Å
α = 33.53°, β = 33.53°, γ = 33.53°
Last column: nearest neighbours and their distance in Å.
Atoms (fractional coordinates):
Tm: 0.0000 0.0000 0.0000  6 Ni 2.78
Nb: 0.1413 0.1413 0.1413  12 Ni 2.73-2.85, 3 Nb 3.02
Nb: 0.8587 0.8587 0.8587  12 Ni 2.73-2.85, 3 Nb 3.02
Ni: 0.0816 0.5883 0.5883  7 Ni 2.36-2.46
Ni: 0.3336 0.3336 0.3336  6 Ni 2.46
Ni: 0.4117 0.4117 0.9184  7 Ni 2.36-2.46
Ni: 0.4117 0.9184 0.4117  7 Ni 2.36-2.46
Ni: 0.5000 0.5000 0.5000  6 Ni 2.36
Ni: 0.5883 0.0816 0.5883  7 Ni 2.36-2.46
Ni: 0.5883 0.5883 0.0816  7 Ni 2.36-2.46
Ni: 0.6664 0.6664 0.6664  6 Ni 2.46
Ni: 0.9184 0.4117 0.4117  7 Ni 2.36-2.46

=====

Entry 10:
The following is a GGA-PBE calculation of crystalline InSbPd14 at its relaxed geometry, from Alexandria.

## Properties
- Density of states at the Fermi level: 1.515 states/eV per atom
- Raw formation energy: -0.22 eV/atom
- Total DFT energy (no corrections): -5.1898 eV/atom

a = 5.7534 Å, b = 5.7534 Å, c = 7.7017 Å
α = 90.00°, β = 90.00°, γ = 90.00°
Last column: nearest neighbours and their distance in Å.
Atoms (fractional coordinates):
In: 0.0000 0.0000 0.0000  12 Pd 2.81-2.88
Sb: 0.5000 0.5000 0.0000  12 Pd 2.80-2.88
Pd: 0.0000 0.0000 0.5000  12 Pd 2.81-2.88
Pd: 0.0000 0.5000 0.0000  8 Pd 2.80, 2 Sb 2.88, 2 In 2.88
Pd: 0.0000 0.5000 0.5000  12 Pd 2.80-2.88
Pd: 0.2513 0.2513 0.2506  10 Pd 2.79-2.89, 1 Sb 2.80, 1 In 2.81
Pd: 0.2513 0.2513 0.7494  10 Pd 2.79-2.89, 1 Sb 2.80, 1 In 2.81
Pd: 0.2513 0.7487 0.2506  10 Pd 2.79-2.89, 1 Sb 2.80, 1 In 2.81
Pd: 0.2513 0.7487 0.7494  10 Pd 2.79-2.89, 1 Sb 2.80, 1 In 2.81
Pd: 0.5000 0.0000 0.0000  8 Pd 2.80, 2 Sb 2.88, 2 In 2.88
Pd: 0.5000 0.0000 0.5000  12 Pd 2.80-2.88
Pd: 0.5000 0.5000 0.5000  12 Pd 2.79-2.88
Pd: 0.7487 0.2513 0.2506  10 Pd 2.79-2.89, 1 Sb 2.80, 1 In 2.81
Pd: 0.7487 0.2513 0.7494  10 Pd 2.79-2.89, 1 Sb 2.80, 1 In 2.81
Pd: 0.7487 0.7487 0.2506  10 Pd 2.79-2.89, 1 Sb 2.80, 1 In 2.81
Pd: 0.7487 0.7487 0.7494  10 Pd 2.79-2.89, 1 Sb 2.80, 1 In 2.81

=====

Entry 11:
The following is a GGA-PBE calculation of crystalline Zn6IrAu2 at its relaxed geometry, from Alexandria.

## Properties
- Density of states at the Fermi level: 0.358 states/eV per atom
- E above lowest polymorph: 97 meV/atom
- Total DFT energy (no corrections): -2.6696 eV/atom
- ΔE_f: -0.97 eV per formula unit

a = 7.3051 Å, b = 7.3051 Å, c = 4.2956 Å
α = 102.69°, β = 102.69°, γ = 48.75°
Last column: nearest neighbours and their distance in Å.
Atoms (fractional coordinates):
Zn: 0.0832 0.5992 0.3542  1 Ir 2.52, 3 Au 2.65-2.69
Zn: 0.2311 0.7689 0.0000  2 Ir 2.56, 2 Au 2.71, 1 Zn 2.79
Zn: 0.4008 0.9168 0.6458  1 Ir 2.52, 3 Au 2.65-2.69
Zn: 0.5992 0.0832 0.3542  1 Ir 2.52, 3 Au 2.65-2.69
Zn: 0.7689 0.2311 0.0000  2 Ir 2.56, 2 Au 2.71, 1 Zn 2.79
Zn: 0.9168 0.4008 0.6458  1 Ir 2.52, 3 Au 2.65-2.69
Ir: 0.0000 0.0000 0.5000  8 Zn 2.52-2.56
Au: 0.3318 0.3318 0.8463  8 Zn 2.65-2.71
Au: 0.6682 0.6682 0.1537  8 Zn 2.65-2.71

=====

Entry 12:
The following is a GGA-PBE calculation of crystalline Y2Er2Tl at its relaxed geometry, from Alexandria.

## Properties
- Density of states at the Fermi level: 0.773 states/eV per atom
- Total DFT energy (no corrections): -5.0023 eV/atom
- ΔE_f: -0.59 eV per formula unit

a = 6.6159 Å, b = 6.6159 Å, c = 9.3847 Å
α = 103.92°, β = 103.92°, γ = 48.52°
Last column: nearest neighbours and their distance in Å.
Atoms (fractional coordinates):
Y: 0.0238 0.0238 0.3409  4 Er 3.18-3.47, 2 Y 3.19-3.49, 1 Tl 3.19
Y: 0.1542 0.1542 0.0501  3 Tl 3.36-3.37, 4 Er 3.49-3.75, 3 Y 3.49-3.73
Y: 0.8458 0.8458 0.9499  3 Tl 3.36-3.37, 4 Er 3.49-3.75, 3 Y 3.49-3.73
Y: 0.9762 0.9762 0.6591  4 Er 3.18-3.47, 2 Y 3.19-3.49, 1 Tl 3.19
Er: 0.3499 0.3499 0.4480  3 Tl 3.31, 2 Er 3.46-3.49, 2 Y 3.47
Er: 0.4784 0.4784 0.1592  1 Tl 3.16, 2 Er 3.17-3.46, 4 Y 3.18-3.49
Er: 0.5216 0.5216 0.8408  1 Tl 3.16, 2 Er 3.17-3.46, 4 Y 3.18-3.49
Er: 0.6501 0.6501 0.5520  3 Tl 3.31, 2 Er 3.46-3.49, 2 Y 3.47
Tl: 0.2504 0.2504 0.7444  4 Er 3.16-3.31, 4 Y 3.19-3.37
Tl: 0.7496 0.7496 0.2556  4 Er 3.16-3.31, 4 Y 3.19-3.37